# 1
## UTlFeS3 (PBE)

Data for a relaxed UTlFeS3 crystal.

Values from the calculation:
Total energy: -79.09 eV for the cell shown
Symmetry: P2_1/m, No. 11
D(E_F): 10.545 states/eV/cell
Uncorrected formation energy: -840.6 meV per atom
Spin magnetization: 0.585 μB/atom

Unit cell a=3.827 b=8.929 c=9.126 alpha=111.15 beta=90.00 gamma=90.00
Element x y z (fractional)
1 S 0.750 0.882 0.149
2 S 0.750 0.181 0.523
3 S 0.250 0.118 0.851
4 S 0.250 0.540 0.845
5 S 0.250 0.819 0.477
6 S 0.750 0.460 0.155
7 U 0.750 0.319 0.836
8 U 0.250 0.681 0.164
9 Fe 0.250 0.085 0.585
10 Fe 0.750 0.915 0.415
11 Tl 0.250 0.198 0.231
12 Tl 0.750 0.802 0.769


# 2
## U2Tl3FeS6 (PBE)

Data for a relaxed U2Tl3FeS6 crystal.

Values from the calculation:
Total energy: -72.32 eV for the cell shown
Symmetry: C2/m, No. 12
D(E_F): 19.245 states/eV/cell
Uncorrected formation energy: -784.7 meV per atom
Spin magnetization: 0.670 μB/atom

Unit cell a=6.709 b=6.709 c=7.971 alpha=98.10 beta=98.10 gamma=120.05
Element x y z (fractional)
1 U 0.334 0.666 0.000
2 U 0.666 0.334 0.000
3 S 0.616 0.937 0.810
4 S 0.937 0.616 0.810
5 S 0.257 0.257 0.807
6 S 0.063 0.384 0.190
7 S 0.384 0.063 0.190
8 S 0.743 0.743 0.193
9 Tl 0.169 0.831 0.500
10 Tl 0.500 0.500 0.500
11 Tl 0.831 0.169 0.500
12 Fe 0.000 0.000 0.000


# 3
## TlFe2WS (PBE)

Data for a relaxed TlFe2WS crystal.

Values from the calculation:
Total energy: -22.34 eV for the cell shown
Symmetry: P4/mmm, No. 123
D(E_F): 11.362 states/eV/cell
Uncorrected formation energy: 2806.6 meV per atom
Spin magnetization: 0.109 μB/atom

Unit cell a=4.713 b=5.116 c=4.713 alpha=90.00 beta=90.00 gamma=90.00
Element x y z (fractional)
1 Fe 0.000 0.000 0.500
2 Fe 0.500 0.000 0.000
3 Tl 0.000 0.000 0.000
4 W 0.000 0.500 0.000
5 S 0.500 0.500 0.500


# 4
## Zr2Tl3FeS6 (PBE)

Data for a relaxed Zr2Tl3FeS6 crystal.

Values from the calculation:
Total energy: -67.66 eV for the cell shown
Symmetry: C2/m, No. 12
D(E_F): 5.332 states/eV/cell
Uncorrected formation energy: -853.3 meV per atom
Spin magnetization: 0.011 μB/atom

Unit cell a=6.158 b=6.158 c=8.704 alpha=99.23 beta=99.23 gamma=120.18
Element x y z (fractional)
1 Zr 0.667 0.333 0.000
2 Zr 0.333 0.667 0.000
3 S 0.227 0.227 0.825
4 S 0.387 0.079 0.174
5 S 0.079 0.387 0.174
6 S 0.921 0.613 0.826
7 S 0.613 0.921 0.826
8 S 0.773 0.773 0.175
9 Fe 0.000 0.000 0.000
10 Tl 0.834 0.166 0.500
11 Tl 0.166 0.834 0.500
12 Tl 0.500 0.500 0.500


# 5
## Tm4FeS7 (PBE)

Data for a relaxed Tm4FeS7 crystal.

Values from the calculation:
Total energy: -75.69 eV for the cell shown
Symmetry: Cm, No. 8
D(E_F): 3.778 states/eV/cell
Uncorrected formation energy: -1704.4 meV per atom
Spin magnetization: 0.333 μB/atom

Unit cell a=6.415 b=6.415 c=11.295 alpha=76.03 beta=76.03 gamma=33.89
Element x y z (fractional)
1 S 0.963 0.963 0.784
2 S 0.338 0.338 0.052
3 S 0.270 0.270 0.355
4 S 0.491 0.491 0.493
5 S 0.034 0.034 0.227
6 S 0.744 0.744 0.637
7 S 0.659 0.659 0.948
8 Tm 0.305 0.305 0.801
9 Tm 0.999 0.999 0.006
10 Tm 0.112 0.112 0.564
11 Tm 0.695 0.695 0.208
12 Fe 0.891 0.891 0.425


# 6
## U8FeS17 (PBE)

Data for a relaxed U8FeS17 crystal.

Values from the calculation:
Total energy: -203.32 eV for the cell shown
Symmetry: C2/m, No. 12
D(E_F): 48.933 states/eV/cell
Uncorrected formation energy: -1322.6 meV per atom
Spin magnetization: 0.216 μB/atom

Unit cell a=7.792 b=7.792 c=10.273 alpha=80.69 beta=80.69 gamma=64.45
Element x y z (fractional)
1 S 0.567 0.179 0.465
2 S 0.942 0.325 0.028
3 S 0.211 0.211 0.278
4 S 0.060 0.060 0.775
5 S 0.058 0.675 0.972
6 S 0.325 0.942 0.028
7 S 0.000 0.000 0.500
8 S 0.789 0.789 0.722
9 S 0.940 0.940 0.225
10 S 0.479 0.479 0.170
11 S 0.821 0.433 0.535
12 S 0.675 0.058 0.972
13 S 0.521 0.521 0.830
14 S 0.433 0.821 0.535
15 S 0.696 0.696 0.245
16 S 0.179 0.567 0.465
17 S 0.304 0.304 0.755
18 U 0.203 0.203 0.545
19 U 0.297 0.818 0.298
20 U 0.797 0.797 0.455
21 U 0.683 0.683 0.983
22 U 0.182 0.703 0.702
23 U 0.317 0.317 0.017
24 U 0.818 0.297 0.298
25 U 0.703 0.182 0.702
26 Fe 0.000 0.000 0.000


# 7
## U3Fe5S12 (PBE)

Data for a relaxed U3Fe5S12 crystal.

Values from the calculation:
Total energy: -560.49 eV for the cell shown
Symmetry: Ia-3d, No. 230
D(E_F): 141.305 states/eV/cell
Uncorrected formation energy: -720.8 meV per atom
Spin magnetization: 0.000 μB/atom

Unit cell a=12.189 b=12.189 c=12.189 alpha=109.47 beta=109.47 gamma=109.47
Element x y z (fractional)
1 S 0.178 0.091 0.706
2 S 0.409 0.115 0.588
3 S 0.588 0.615 0.409
4 S 0.409 0.294 0.322
5 S 0.178 0.088 0.972
6 S 0.472 0.794 0.885
7 S 0.206 0.528 0.615
8 S 0.678 0.206 0.591
9 S 0.091 0.912 0.385
10 S 0.412 0.385 0.591
11 S 0.322 0.528 0.412
12 S 0.385 0.972 0.794
13 S 0.528 0.206 0.115
14 S 0.088 0.909 0.115
15 S 0.028 0.615 0.706
16 S 0.322 0.794 0.409
17 S 0.206 0.678 0.091
18 S 0.885 0.294 0.472
19 S 0.591 0.706 0.678
20 S 0.909 0.822 0.794
21 S 0.472 0.678 0.088
22 S 0.706 0.115 0.028
23 S 0.706 0.591 0.178
24 S 0.294 0.885 0.972
25 S 0.972 0.588 0.178
26 S 0.385 0.412 0.091
27 S 0.088 0.178 0.472
28 S 0.091 0.178 0.206
29 S 0.912 0.822 0.528
30 S 0.822 0.909 0.294
31 S 0.972 0.385 0.294
32 S 0.885 0.591 0.912
33 S 0.294 0.409 0.822
34 S 0.678 0.472 0.588
35 S 0.912 0.091 0.885
36 S 0.412 0.028 0.322
37 S 0.115 0.706 0.528
38 S 0.115 0.409 0.088
39 S 0.591 0.885 0.412
40 S 0.615 0.028 0.206
41 S 0.028 0.412 0.822
42 S 0.909 0.088 0.615
43 S 0.794 0.472 0.385
44 S 0.615 0.588 0.909
45 S 0.588 0.972 0.678
46 S 0.794 0.322 0.909
47 S 0.822 0.912 0.028
48 S 0.528 0.322 0.912
49 U 0.750 0.875 0.625
50 U 0.250 0.125 0.375
51 U 0.750 0.375 0.125
52 U 0.125 0.875 0.750
53 U 0.375 0.625 0.250
54 U 0.250 0.625 0.875
55 U 0.875 0.750 0.125
56 U 0.625 0.375 0.750
57 U 0.625 0.250 0.375
58 U 0.875 0.125 0.250
59 U 0.125 0.250 0.875
60 U 0.375 0.750 0.625
61 Fe 0.250 0.375 0.625
62 Fe 0.000 0.500 0.500
63 Fe 0.375 0.125 0.750
64 Fe 0.625 0.875 0.250
65 Fe 0.500 0.000 0.000
66 Fe 0.125 0.375 0.250
67 Fe 0.250 0.875 0.125
68 Fe 0.750 0.625 0.375
69 Fe 0.125 0.750 0.375
70 Fe 0.000 0.500 0.000
71 Fe 0.500 0.000 0.500
72 Fe 0.625 0.750 0.875
73 Fe 0.875 0.625 0.750
74 Fe 0.000 0.000 0.500
75 Fe 0.000 0.000 0.000
76 Fe 0.875 0.250 0.625
77 Fe 0.500 0.500 0.000
78 Fe 0.500 0.500 0.500
79 Fe 0.750 0.125 0.875
80 Fe 0.375 0.250 0.125


# 8
## UFeS3 (PBE)

Data for a relaxed UFeS3 crystal.

Values from the calculation:
Total energy: -73.58 eV for the cell shown
Symmetry: Cmcm, No. 63
D(E_F): 14.444 states/eV/cell
Uncorrected formation energy: -931.1 meV per atom
Spin magnetization: 0.396 μB/atom

Unit cell a=5.641 b=5.641 c=8.501 alpha=90.00 beta=90.00 gamma=141.97
Element x y z (fractional)
1 S 0.921 0.079 0.750
2 S 0.631 0.369 0.542
3 S 0.369 0.631 0.042
4 S 0.631 0.369 0.958
5 S 0.369 0.631 0.458
6 S 0.079 0.921 0.250
7 U 0.231 0.769 0.750
8 U 0.769 0.231 0.250
9 Fe 0.000 0.000 0.500
10 Fe 0.000 0.000 0.000


# 9
## U2FeS (PBE)

Data for a relaxed U2FeS crystal.

Values from the calculation:
Total energy: -37.11 eV for the cell shown
Symmetry: R-3m, No. 166
D(E_F): 9.217 states/eV/cell
Uncorrected formation energy: -484.7 meV per atom
Spin magnetization: 0.959 μB/atom

Unit cell a=3.756 b=3.756 c=6.887 alpha=74.17 beta=74.17 gamma=60.00
Element x y z (fractional)
1 U 0.258 0.258 0.226
2 U 0.742 0.742 0.774
3 Fe 0.000 0.000 0.000
4 S 0.500 0.500 0.500


# 10
## U2FeS5 (PBE)

Data for a relaxed U2FeS5 crystal.

Values from the calculation:
Total energy: -121.17 eV for the cell shown
Symmetry: C2/c, No. 15
D(E_F): 31.221 states/eV/cell
Uncorrected formation energy: -1113.5 meV per atom
Spin magnetization: 0.720 μB/atom

Unit cell a=7.863 b=7.863 c=6.952 alpha=83.07 beta=83.07 gamma=44.90
Element x y z (fractional)
1 U 0.905 0.314 0.915
2 U 0.095 0.686 0.085
3 U 0.686 0.095 0.585
4 U 0.314 0.905 0.415
5 S 0.865 0.692 0.809
6 S 0.291 0.524 0.425
7 S 0.308 0.135 0.691
8 S 0.692 0.865 0.309
9 S 0.476 0.709 0.075
10 S 0.903 0.097 0.250
11 S 0.524 0.291 0.925
12 S 0.709 0.476 0.575
13 S 0.135 0.308 0.191
14 S 0.097 0.903 0.750
15 Fe 0.500 0.000 0.000
16 Fe 0.000 0.500 0.500


# 11
## UFeS (PBE)

Data for a relaxed UFeS crystal.

Values from the calculation:
Total energy: -51.62 eV for the cell shown
Symmetry: Cmcm, No. 63
D(E_F): 7.847 states/eV/cell
Uncorrected formation energy: -643.4 meV per atom
Spin magnetization: 0.064 μB/atom

Unit cell a=4.394 b=3.396 c=7.314 alpha=76.58 beta=90.00 gamma=90.00
Element x y z (fractional)
1 S 0.250 0.679 0.641
2 S 0.750 0.321 0.359
3 U 0.750 0.125 0.750
4 U 0.250 0.875 0.250
5 Fe 0.250 0.521 0.958
6 Fe 0.750 0.479 0.042


# 12
## VFe2S4 (PBE)

Data for a relaxed VFe2S4 crystal.

Values from the calculation:
Total energy: -46.84 eV for the cell shown
Symmetry: Cm, No. 8
D(E_F): 3.878 states/eV/cell
Uncorrected formation energy: -612.4 meV per atom
Spin magnetization: 0.191 μB/atom

Unit cell a=6.121 b=6.121 c=5.711 alpha=65.71 beta=65.71 gamma=30.27
Element x y z (fractional)
1 S 0.361 0.361 0.989
2 S 0.107 0.107 0.553
3 S 0.640 0.640 0.026
4 S 0.894 0.894 0.431
5 Fe 0.735 0.735 0.318
6 Fe 0.003 0.003 0.999
7 V 0.261 0.261 0.685